No. 1
Computed, not measured: a geometry-optimized ScRh3 structure at the PBE-GGA level of DFT.

abc: 2.897 2.897 8.568
angles: 90.00 90.00 120.00
Atoms (fractional coordinates):
Rh (0.000, 0.000, 0.500)
Rh (0.000, 0.000, 0.000)
Sc (0.333, 0.667, 0.750)
Rh (0.333, 0.667, 0.250)

## Properties
- SG: P-6m2 (187)
- Formation energy from the elements: -16 kJ/mol of atoms

---

No. 2
Computed, not measured: a geometry-optimized La2TcAu structure at the PBE-GGA level of DFT.

abc: 6.287 6.287 6.287
angles: 146.86 133.07 58.66
Atoms (fractional coordinates):
La (0.988, 0.988, 0.000)
Au (0.708, 0.208, 0.500)
La (0.290, 0.790, 0.500)
Tc (0.514, 0.514, 0.000)

## Properties
- SG: Imm2 (44)
- Formation energy from the elements: -12 kJ/mol of atoms

---

No. 3
Computed, not measured: a geometry-optimized NaTl17Cd11 structure at the PBE-GGA level of DFT.

abc: 10.175 10.175 10.173
angles: 109.59 109.59 109.13
Atoms (fractional coordinates):
Cd (0.638, 0.002, 0.816)
Cd (0.185, 0.819, 0.187)
Cd (0.174, 0.174, 0.799)
Cd (0.819, 0.185, 0.187)
Tl (0.686, 0.686, 0.282)
Tl (0.004, 0.004, 0.002)
Cd (0.364, 0.179, 0.373)
Cd (0.996, 0.808, 0.628)
Tl (0.347, 0.002, 0.000)
Tl (0.000, 0.597, 0.314)
Tl (0.289, 0.689, 0.689)
Cd (0.817, 0.637, 0.001)
Tl (0.402, 0.402, 0.720)
Tl (0.317, 0.604, 0.001)
Tl (0.712, 0.396, 0.398)
Tl (0.651, 0.651, 0.651)
Tl (0.604, 0.317, 0.001)
Cd (0.002, 0.638, 0.816)
Tl (0.321, 0.998, 0.600)
Cd (0.179, 0.364, 0.373)
Tl (0.597, 0.000, 0.314)
Tl (0.998, 0.321, 0.600)
Cd (0.637, 0.817, 0.001)
Tl (0.396, 0.712, 0.398)
Tl (0.689, 0.289, 0.689)
Cd (0.808, 0.996, 0.628)
Tl (0.002, 0.347, 0.000)
Na (0.369, 0.369, 0.177)
Tl (0.999, 0.999, 0.356)

## Properties
- SG: Cm (8)
- Formation energy from the elements: 1 kJ/mol of atoms

---

No. 4
Computed, not measured: a geometry-optimized PmPr2H6 structure at the PBE-GGA level of DFT.

abc: 3.885 3.885 8.687
angles: 102.92 102.92 90.00
Atoms (fractional coordinates):
H (0.750, 0.250, 0.500)
H (0.250, 0.750, 0.500)
Pr (0.334, 0.334, 0.669)
Pm (0.000, 0.000, 0.000)
H (0.081, 0.581, 0.161)
H (0.581, 0.081, 0.161)
H (0.919, 0.419, 0.839)
Pr (0.666, 0.666, 0.331)
H (0.419, 0.919, 0.839)

## Properties
- SG: I4/mmm (139)

---

No. 5
Computed, not measured: a geometry-optimized UCl3F structure at the PBE-GGA level of DFT.

abc: 5.420 6.810 8.485
angles: 90.00 90.00 113.45
Site moments in Bohr magnetons follow the coordinates.
Atoms (fractional coordinates):
Cl (0.620, 0.240, 0.938)  -0.03
U (0.563, 0.126, 0.250)  2.04
Cl (0.380, 0.760, 0.438)  -0.03
Cl (0.056, 0.111, 0.250)  -0.03
F (0.725, 0.450, 0.250)  -0.03
Cl (0.620, 0.240, 0.562)  -0.03
U (0.437, 0.874, 0.750)  2.04
Cl (0.380, 0.760, 0.062)  -0.03
Cl (0.944, 0.889, 0.750)  -0.03
F (0.275, 0.550, 0.750)  -0.03

## Properties
- E_form (uncorrected): -2116 meV per atom
- SG: Cmcm (63)
- Relative energy among the computed polymorphs: 0.063 eV/atom

---

No. 6
Computed, not measured: a geometry-optimized PmDy4Tl5 structure at the PBE-GGA level of DFT.

abc: 3.779 3.779 19.387
angles: 90.00 90.00 90.00
Atoms (fractional coordinates):
Dy (0.000, 0.000, 0.599)
Dy (0.000, 0.000, 0.204)
Dy (0.000, 0.000, 0.401)
Dy (0.000, 0.000, 0.796)
Pm (0.000, 0.000, 0.000)
Tl (0.500, 0.500, 0.697)
Tl (0.500, 0.500, 0.303)
Tl (0.500, 0.500, 0.106)
Tl (0.500, 0.500, 0.894)
Tl (0.500, 0.500, 0.500)

## Properties
- SG: P4/mmm (123)
- Formation energy from the elements: -34 kJ/mol of atoms

---

Raw total energy for the records above, in order: -7.27, -6.00, -1.77, -4.47, -5.86, -3.85 eV per atom
Total moment for the records above, in order: 0.0, 0.0, 0.0, 0.0, 2.0, 0.0 μB/f.u.